Entry 1:
Crystalline BaAl at its relaxed geometry. Source: Alexandria, functional GGA-PBE.

Volume (Å³ per atom): 36.0
Total magnetization (μB/f.u.): 0.147
Density of states at the Fermi level (states/eV/f.u.): 2.65
Electronic total energy (eV per cell): -11.143
Mass density (Mg/m³): 3.784
Formation enthalpy at 0 K (eV/f.u.): 0.09

a = 3.8150 Å, b = 3.8150 Å, c = 9.9071 Å
α = 90.00°, β = 90.00°, γ = 90.00°
Last column: nearest neighbours and their distance in Å.
Element x y z (fractional)
Ba 0.0000 0.0000 0.4233  5 Al 3.54-3.59, 4 Ba 3.82
Ba 0.5000 0.5000 0.8267  5 Al 3.54-3.59, 4 Ba 3.82
Al 0.0000 0.0000 0.0661  4 Al 2.94
Al 0.5000 0.5000 0.1839  4 Al 2.94

Entry 2:
Crystalline BaAl at its relaxed geometry. Source: Alexandria, functional GGA-PBE.

Volume (Å³ per atom): 42.1
Total magnetization (μB/f.u.): 0.000
Density of states at the Fermi level (states/eV/f.u.): 2.21
Electronic total energy (eV per cell): -21.589
Mass density (Mg/m³): 3.239
Formation enthalpy at 0 K (eV/f.u.): 0.27

a = 6.9622 Å, b = 6.9622 Å, c = 6.9520 Å
α = 90.00°, β = 90.00°, γ = 90.00°
Last column: nearest neighbours and their distance in Å.
Element x y z (fractional)
Ba 0.1807 0.1807 0.0000  4 Al 3.40-3.51, 1 Ba 3.56
Ba 0.6807 0.3193 0.5000  4 Al 3.40-3.51, 1 Ba 3.56
Ba 0.3193 0.6807 0.5000  4 Al 3.40-3.51, 1 Ba 3.56
Ba 0.8193 0.8193 0.0000  4 Al 3.40-3.51, 1 Ba 3.56
Al 0.3698 0.6302 0.0000  1 Al 2.56
Al 0.8698 0.8698 0.5000  1 Al 2.56
Al 0.1302 0.1302 0.5000  1 Al 2.56
Al 0.6302 0.3698 0.0000  1 Al 2.56

Entry 3:
Crystalline BaAl11 at its relaxed geometry. Source: Alexandria, functional GGA-PBE.

Volume (Å³ per atom): 19.4
Total magnetization (μB/f.u.): 0.000
Density of states at the Fermi level (states/eV/f.u.): 5.75
Electronic total energy (eV per cell): -87.643
Mass density (Mg/m³): 3.096
Formation enthalpy at 0 K (eV/f.u.): -0.73

a = 7.2815 Å, b = 8.7866 Å, c = 8.7866 Å
α = 80.11°, β = 65.52°, γ = 65.52°
Last column: nearest neighbours and their distance in Å.
Element x y z (fractional)
Ba 0.5000 0.0000 0.0000  22 Al 3.53-3.93
Ba 0.2500 0.5000 0.5000  22 Al 3.53-3.93
Al 0.4341 0.8309 0.4176  9 Al 2.74-3.06
Al 0.6825 0.1691 0.5824  9 Al 2.74-3.06
Al 0.0000 0.0000 0.0000  12 Al 2.97-3.06
Al 0.7500 0.5000 0.5000  12 Al 2.97-3.06
Al 0.3750 0.7500 0.7500  10 Al 2.74-2.97
Al 0.8750 0.7500 0.2500  10 Al 2.74-2.97
Al 0.8750 0.2500 0.7500  10 Al 2.74-2.97
Al 0.8750 0.2500 0.2500  10 Al 2.74-2.97
Al 0.4341 0.4176 0.8309  9 Al 2.74-3.06
Al 0.0150 0.6691 0.9176  9 Al 2.74-3.06
Al 0.6016 0.3309 0.0824  9 Al 2.74-3.06
Al 0.6825 0.5824 0.1691  9 Al 2.74-3.06
Al 0.7350 0.5824 0.8309  9 Al 2.74-3.06
Al 0.1484 0.4176 0.1691  9 Al 2.74-3.06
Al 0.0675 0.3309 0.9176  9 Al 2.74-3.06
Al 0.3159 0.6691 0.0824  9 Al 2.74-3.06
Al 0.3159 0.0824 0.6691  9 Al 2.74-3.06
Al 0.7350 0.8309 0.5824  9 Al 2.74-3.06
Al 0.1484 0.1691 0.4176  9 Al 2.74-3.06
Al 0.0675 0.9176 0.3309  9 Al 2.74-3.06
Al 0.0150 0.9176 0.6691  9 Al 2.74-3.06
Al 0.6016 0.0824 0.3309  9 Al 2.74-3.06

Entry 4:
Crystalline Ba3Al at its relaxed geometry. Source: Alexandria, functional GGA-PBE.

Volume (Å³ per atom): 53.0
Total magnetization (μB/f.u.): 0.000
Density of states at the Fermi level (states/eV/f.u.): 5.21
Electronic total energy (eV per cell): -9.114
Mass density (Mg/m³): 3.441
Formation enthalpy at 0 K (eV/f.u.): 0.40

a = 12.8888 Å, b = 12.8888 Å, c = 12.8888 Å
α = 19.66°, β = 19.66°, γ = 19.66°
Last column: nearest neighbours and their distance in Å.
Element x y z (fractional)
Ba 0.7302 0.7302 0.7302  3 Al 3.50
Ba 0.5000 0.5000 0.5000  12 Ba 4.40-4.66
Ba 0.2698 0.2698 0.2698  3 Al 3.50
Al 0.0000 0.0000 0.0000  6 Ba 3.50

What is the density of states at the Fermi level in the second record? 2.21 states/eV/f.u.